(1)
A plane-wave DFT calculation with PBE was carried out for crystalline Nb3SI6Br at its relaxed geometry.

Cell and atoms, written as CIF:
```
data_Nb3SI6Br
_cell_length_a 7.5717
_cell_length_b 7.5717
_cell_length_c 7.1037
_cell_angle_alpha 90.00
_cell_angle_beta 90.00
_cell_angle_gamma 120.00
_space_group_name_H-M_alt 'P 3 m 1'
_space_group_IT_number 156
loop_
_space_group_symop_operation_xyz
'x,y,z'
'-y,x-y,z'
'-x+y,-x,z'
'-y,-x,z'
'-x+y,y,z'
'x,x-y,z'
loop_
_atom_site_label
_atom_site_fract_x
_atom_site_fract_y
_atom_site_fract_z
Nb1 0.2017 0.4035 0.0000
S1 0.3333 0.6667 0.7610
I1 0.3389 0.1695 0.7768
I2 0.5028 0.0055 0.2648
Br1 0.0000 0.0000 0.1782
```

Output
Uncorrected energy = -4.773 eV/atom
Crystal system = trigonal
Magnetic moment = 0.003 μB per cell

(2)
A plane-wave DFT calculation with PBE was carried out for crystalline YTmGeF2 at its relaxed geometry.

Cell and atoms, written as CIF:
```
data_YTmGeF2
_cell_length_a 3.9545
_cell_length_b 3.9545
_cell_length_c 6.6046
_cell_angle_alpha 90.00
_cell_angle_beta 90.00
_cell_angle_gamma 120.00
_space_group_name_H-M_alt 'P 3 m 1'
_space_group_IT_number 156
loop_
_space_group_symop_operation_xyz
'x,y,z'
'-y,x-y,z'
'-x+y,-x,z'
'-y,-x,z'
'-x+y,y,z'
'x,x-y,z'
loop_
_atom_site_label
_atom_site_fract_x
_atom_site_fract_y
_atom_site_fract_z
Y1 0.0000 0.0000 0.0000
Tm1 0.3333 0.6667 0.5105
Ge1 0.6667 0.3333 0.7512
F1 0.0000 0.0000 0.3619
F2 0.3333 0.6667 0.1606
```

Output
Uncorrected energy = -6.317 eV/atom
Crystal system = trigonal
Magnetic moment = 0.002 μB per cell

(3)
A plane-wave DFT calculation with PBE was carried out for crystalline Th3Co at its relaxed geometry.

Cell and atoms, written as CIF:
```
data_Th3Co
_cell_length_a 7.2471
_cell_length_b 7.2471
_cell_length_c 4.5606
_cell_angle_alpha 90.00
_cell_angle_beta 90.00
_cell_angle_gamma 120.00
_space_group_name_H-M_alt 'P 63/m m c'
_space_group_IT_number 194
_space_group_name_Hall '-P 6c 2c'
loop_
_atom_site_label
_atom_site_fract_x
_atom_site_fract_y
_atom_site_fract_z
Th1 0.1831 0.3661 0.2500
Co1 0.3333 0.6667 0.7500
```

Output
Uncorrected energy = -7.090 eV/atom
Crystal system = hexagonal
Magnetic moment = 0.067 μB per cell

(4)
A plane-wave DFT calculation with PBE was carried out for crystalline PrErGe2 at its relaxed geometry.

Cell and atoms, written as CIF:
```
data_PrErGe2
_cell_length_a 3.2891
_cell_length_b 5.9381
_cell_length_c 11.5451
_cell_angle_alpha 90.00
_cell_angle_beta 90.00
_cell_angle_gamma 90.00
_space_group_name_H-M_alt 'A m m 2'
_space_group_IT_number 38
loop_
_space_group_symop_operation_xyz
'x,y,z'
'-x,-y,z'
'-x,y,z'
'x,-y,z'
'x,y+1/2,z+1/2'
'-x,-y+1/2,z+1/2'
'-x,y+1/2,z+1/2'
'x,-y+1/2,z+1/2'
loop_
_atom_site_label
_atom_site_fract_x
_atom_site_fract_y
_atom_site_fract_z
Pr1 0.0000 0.0000 0.0000
Er1 0.0000 0.0000 0.2976
Ge1 0.0000 0.0000 0.5378
Ge2 0.0000 0.0000 0.7495
```

Output
Uncorrected energy = -4.594 eV/atom
Crystal system = orthorhombic
Magnetic moment = 0.035 μB per cell

(5)
A plane-wave DFT calculation with PBE was carried out for crystalline YGaCuRe at its relaxed geometry.

Cell and atoms, written as CIF:
```
data_YGaCuRe
_cell_length_a 6.5727
_cell_length_b 6.5727
_cell_length_c 6.5727
_cell_angle_alpha 90.00
_cell_angle_beta 90.00
_cell_angle_gamma 90.00
_space_group_name_H-M_alt 'F -4 3 m'
_space_group_IT_number 216
_space_group_name_Hall 'F -4 2 3'
loop_
_atom_site_label
_atom_site_fract_x
_atom_site_fract_y
_atom_site_fract_z
Y1 0.0000 0.0000 0.0000
Ga1 0.2500 0.2500 0.2500
Cu1 0.0000 0.0000 0.5000
Re1 0.2500 0.2500 0.7500
```

Output
Uncorrected energy = -5.895 eV/atom
Relative energy among the computed polymorphs = 24.42 kJ per mole of atoms
Crystal system = cubic
Magnetic moment = 0.006 μB per cell

(6)
A plane-wave DFT calculation with PBE was carried out for crystalline Sr4Hg at its relaxed geometry.

Cell and atoms, written as CIF:
```
data_Sr4Hg
_cell_length_a 8.5874
_cell_length_b 8.5874
_cell_length_c 6.2885
_cell_angle_alpha 90.00
_cell_angle_beta 90.00
_cell_angle_gamma 90.00
_space_group_name_H-M_alt 'P 4/m b m'
_space_group_IT_number 127
_space_group_name_Hall '-P 4 2ab'
loop_
_atom_site_label
_atom_site_fract_x
_atom_site_fract_y
_atom_site_fract_z
Sr1 0.1566 0.3434 0.0000
Sr2 0.1669 0.6669 0.5000
Hg1 0.0000 0.0000 0.0000
```

Output
Uncorrected energy = -1.445 eV/atom
Crystal system = tetragonal

What is the formula in the fifth record? YGaCuRe

Among the records above, which one has the highest uncorrected energy? Sr4Hg